[1]
DFT (GGA-PBE) results for an optimized crystal structure of NaSe.

Unit cell a=4.723 b=4.723 c=10.813 alpha=90.00 beta=90.00 gamma=120.00
Sites, in units of the cell vectors:
Na 0.000 0.000 0.000
Na 0.000 0.000 0.500
Na 0.333 0.667 0.250
Na 0.667 0.333 0.750
Se 0.333 0.667 0.636
Se 0.667 0.333 0.136
Se 0.667 0.333 0.364
Se 0.333 0.667 0.864

Computed properties:
The value obtained for the total magnetization is 0.00 μB/cell. The total DFT energy (no corrections) is -3.232 eV per atom. The uncorrected formation energy comes out at -0.8300 eV/atom. As for the symmetry: No. 194.

=====

[2]
DFT (GGA-PBE) results for an optimized crystal structure of NaSe.

Unit cell a=4.686 b=4.686 c=16.822 alpha=90.00 beta=90.00 gamma=120.00
Sites, in units of the cell vectors:
Na 0.000 0.000 0.229
Na 0.333 0.667 0.895
Na 0.667 0.333 0.562
Na 0.000 0.000 0.045
Na 0.333 0.667 0.712
Na 0.667 0.333 0.378
Se 0.000 0.000 0.480
Se 0.333 0.667 0.147
Se 0.667 0.333 0.814
Se 0.000 0.000 0.628
Se 0.333 0.667 0.294
Se 0.667 0.333 0.961

Computed properties:
The value obtained for the total magnetization is 0.00 μB/cell. The total DFT energy (no corrections) is -3.182 eV per atom. The uncorrected formation energy comes out at -0.7803 eV/atom. As for the symmetry: No. 160.

=====

[3]
DFT (GGA-PBE) results for an optimized crystal structure of NaSe.

Unit cell a=5.658 b=8.088 c=8.088 alpha=120.00 beta=90.00 gamma=90.00
Sites, in units of the cell vectors:
Na 0.000 0.680 0.680
Na 0.000 0.320 0.000
Na 0.000 0.000 0.320
Na 0.500 0.348 0.348
Na 0.500 0.652 0.000
Na 0.500 0.000 0.652
Se 0.716 0.000 0.000
Se 0.284 0.000 0.000
Se 0.781 0.667 0.333
Se 0.219 0.667 0.333
Se 0.219 0.333 0.667
Se 0.781 0.333 0.667

Computed properties:
The value obtained for the total magnetization is 0.00 μB/cell. The total DFT energy (no corrections) is -3.216 eV per atom. The uncorrected formation energy comes out at -0.8143 eV/atom. As for the symmetry: No. 189.

=====

[4]
DFT (GGA-PBE) results for an optimized crystal structure of NaSe.

Unit cell a=10.371 b=10.371 c=5.203 alpha=90.00 beta=90.00 gamma=120.00
Sites, in units of the cell vectors:
Na 0.757 0.188 0.250
Na 0.568 0.757 0.750
Na 0.812 0.568 0.250
Na 0.243 0.812 0.750
Na 0.432 0.243 0.250
Na 0.188 0.432 0.750
Se 0.018 0.469 0.250
Se 0.548 0.018 0.750
Se 0.531 0.548 0.250
Se 0.982 0.531 0.750
Se 0.452 0.982 0.250
Se 0.469 0.452 0.750

Computed properties:
The value obtained for the total magnetization is 0.00 μB/cell. The total DFT energy (no corrections) is -2.973 eV per atom. The uncorrected formation energy comes out at -0.5709 eV/atom. As for the symmetry: No. 176.

=====

[5]
DFT (GGA-PBE) results for an optimized crystal structure of NaSe.

Unit cell a=12.578 b=12.578 c=3.628 alpha=90.00 beta=90.00 gamma=90.00
Sites, in units of the cell vectors:
Na 0.436 0.767 0.000
Na 0.564 0.233 0.000
Na 0.233 0.436 0.000
Na 0.767 0.564 0.000
Na 0.936 0.267 0.500
Na 0.064 0.733 0.500
Na 0.733 0.936 0.500
Na 0.267 0.064 0.500
Se 0.339 0.227 0.000
Se 0.661 0.773 0.000
Se 0.773 0.339 0.000
Se 0.227 0.661 0.000
Se 0.839 0.727 0.500
Se 0.161 0.273 0.500
Se 0.273 0.839 0.500
Se 0.727 0.161 0.500

Computed properties:
The value obtained for the total magnetization is 0.00 μB/cell. The total DFT energy (no corrections) is -2.818 eV per atom. The uncorrected formation energy comes out at -0.4158 eV/atom. As for the symmetry: No. 87.

=====

[6]
DFT (GGA-PBE) results for an optimized crystal structure of NaSe.

Unit cell a=9.023 b=9.023 c=9.023 alpha=90.00 beta=90.00 gamma=90.00
Sites, in units of the cell vectors:
Na 0.180 0.180 0.180
Na 0.180 0.820 0.820
Na 0.820 0.180 0.820
Na 0.820 0.820 0.180
Na 0.680 0.680 0.680
Na 0.680 0.320 0.320
Na 0.320 0.680 0.320
Na 0.320 0.320 0.680
Se 0.364 0.364 0.364
Se 0.364 0.636 0.636
Se 0.636 0.364 0.636
Se 0.636 0.636 0.364
Se 0.864 0.864 0.864
Se 0.864 0.136 0.136
Se 0.136 0.864 0.136
Se 0.136 0.136 0.864

Computed properties:
The value obtained for the total magnetization is 8.01 μB/cell. The total DFT energy (no corrections) is -2.670 eV per atom. The uncorrected formation energy comes out at -0.2682 eV/atom. As for the symmetry: No. 217.

=====

[7]
DFT (GGA-PBE) results for an optimized crystal structure of Na3Se.

Unit cell a=3.848 b=4.656 c=7.955 alpha=107.01 beta=104.00 gamma=90.00
Sites, in units of the cell vectors:
Na 0.347 0.764 0.694
Na 0.500 0.417 0.000
Na 0.653 0.069 0.306
Se 0.000 0.917 0.000

Computed properties:
The value obtained for the total magnetization is 0.00 μB/cell. The value obtained for the energy above the most stable polymorph in this dataset is 0 meV/atom. The total DFT energy (no corrections) is -2.462 eV per atom. The uncorrected formation energy comes out at -0.6014 eV/atom. As for the symmetry: No. 71.

=====

[8]
DFT (GGA-PBE) results for an optimized crystal structure of NaSe.

Unit cell a=5.974 b=8.321 c=8.308 alpha=90.00 beta=90.00 gamma=90.00
Sites, in units of the cell vectors:
Na 0.226 0.537 0.120
Na 0.726 0.963 0.380
Na 0.774 0.037 0.880
Na 0.274 0.463 0.620
Na 0.774 0.463 0.880
Na 0.274 0.037 0.620
Na 0.226 0.963 0.120
Na 0.726 0.537 0.380
Se 0.504 0.250 0.097
Se 0.004 0.250 0.403
Se 0.496 0.750 0.903
Se 0.996 0.750 0.597
Se 0.195 0.250 0.900
Se 0.695 0.250 0.600
Se 0.805 0.750 0.100
Se 0.305 0.750 0.400

Computed properties:
The value obtained for the total magnetization is 0.00 μB/cell. The total DFT energy (no corrections) is -3.192 eV per atom. The uncorrected formation energy comes out at -0.7907 eV/atom. As for the symmetry: No. 62.

=====

[9]
DFT (GGA-PBE) results for an optimized crystal structure of NaSe.

Unit cell a=6.654 b=6.654 c=6.654 alpha=90.00 beta=90.00 gamma=90.00
Sites, in units of the cell vectors:
Na 0.250 0.250 0.250
Na 0.250 0.750 0.750
Na 0.750 0.250 0.750
Na 0.750 0.750 0.250
Se 0.000 0.000 0.000
Se 0.000 0.500 0.500
Se 0.500 0.000 0.500
Se 0.500 0.500 0.000

Computed properties:
The value obtained for the total magnetization is 4.01 μB/cell. The total DFT energy (no corrections) is -2.640 eV per atom. The uncorrected formation energy comes out at -0.2385 eV/atom. As for the symmetry: No. 216.

=====

[10]
DFT (GGA-PBE) results for an optimized crystal structure of NaSe.

Unit cell a=5.100 b=5.100 c=5.832 alpha=90.00 beta=90.00 gamma=120.00
Sites, in units of the cell vectors:
Na 0.333 0.667 0.250
Na 0.667 0.333 0.750
Se 0.333 0.667 0.750
Se 0.667 0.333 0.250

Computed properties:
The value obtained for the total magnetization is 2.05 μB/cell. The total DFT energy (no corrections) is -2.780 eV per atom. The uncorrected formation energy comes out at -0.3784 eV/atom. As for the symmetry: No. 194.

=====

[11]
DFT (GGA-PBE) results for an optimized crystal structure of NaSe.

Unit cell a=4.977 b=5.081 c=5.611 alpha=65.68 beta=85.65 gamma=63.71
Sites, in units of the cell vectors:
Na 0.236 0.101 0.742
Na 0.764 0.899 0.258
Se 0.422 0.526 0.283
Se 0.578 0.474 0.717

Computed properties:
The value obtained for the total magnetization is 0.00 μB/cell. The total DFT energy (no corrections) is -3.205 eV per atom. The uncorrected formation energy comes out at -0.8030 eV/atom. As for the symmetry: No. 2.

=====

[12]
DFT (GGA-PBE) results for an optimized crystal structure of NaSe.

Unit cell a=8.148 b=8.148 c=8.148 alpha=90.00 beta=90.00 gamma=90.00
Sites, in units of the cell vectors:
Na 0.250 0.500 0.000
Na 0.750 0.500 0.000
Na 0.500 0.000 0.250
Na 0.500 0.000 0.750
Na 0.000 0.250 0.500
Na 0.000 0.750 0.500
Se 0.250 0.000 0.500
Se 0.750 0.000 0.500
Se 0.000 0.500 0.250
Se 0.000 0.500 0.750
Se 0.500 0.250 0.000
Se 0.500 0.750 0.000

Computed properties:
The value obtained for the total magnetization is 6.04 μB/cell. The total DFT energy (no corrections) is -2.639 eV per atom. The uncorrected formation energy comes out at -0.2374 eV/atom. As for the symmetry: No. 223.

=====

Q: Among the records above, which one has the lowest total DFT energy (no corrections)?
A: number 1